(1)
The following is a DFT calculation (GGA-PBE) of a relaxed structure of Na2EuSb.

Unit cell a=7.733 b=7.733 c=7.733 alpha=90.00 beta=90.00 gamma=90.00
Space group Fm-3m (No. 225)
Unique sites:
1 Na 0.250 0.250 0.250 (multiplicity 8)
2 Eu 0.000 0.000 0.000 (multiplicity 4)
3 Sb 0.000 0.000 0.500 (multiplicity 4)

Output
Volume ... 462.4 Å³ per cell
Formation energy from raw total energies ... -1.11 eV per formula unit
Total moment ... 7.588 μB/f.u.

---

(2)
The following is a DFT calculation (GGA-PBE) of a relaxed structure of NaEuSb2.

Unit cell a=7.753 b=7.753 c=7.753 alpha=90.00 beta=90.00 gamma=90.00
Space group Fm-3m (No. 225)
Unique sites:
1 Na 0.000 0.000 0.000 (multiplicity 4)
2 Eu 0.000 0.000 0.500 (multiplicity 4)
3 Sb 0.250 0.250 0.250 (multiplicity 8)

Output
Energy above the most stable polymorph in this dataset ... 113.0 meV/atom
Volume ... 466.0 Å³ per cell
Formation energy from raw total energies ... -2.08 eV per formula unit
Total moment ... 6.910 μB/f.u.

---

(3)
The following is a DFT calculation (GGA-PBE) of a relaxed structure of NaEu2Sb.

Unit cell a=4.5611 b=4.5611 c=33.7156 alpha=90.00 beta=90.00 gamma=120.00
Space group R-3m (No. 166, hexagonal axes)
Unique sites:
1 Na 0.0000 0.0000 0.0000 (multiplicity 3)
2 Eu 0.0000 0.0000 0.1146 (multiplicity 6)
3 Sb 0.0000 0.0000 0.5000 (multiplicity 3)

Output
Energy above the most stable polymorph in this dataset ... 182.8 meV/atom
Volume ... 607.4 Å³ per cell
Formation energy from raw total energies ... -1.43 eV per formula unit
Total moment ... 14.495 μB/f.u.

---

(4)
The following is a DFT calculation (GGA-PBE) of a relaxed structure of NaEu2Sb.

Unit cell a=7.937 b=7.937 c=7.937 alpha=90.00 beta=90.00 gamma=90.00
Space group Fm-3m (No. 225)
Unique sites:
1 Na 0.000 0.000 0.000 (multiplicity 4)
2 Eu 0.250 0.250 0.250 (multiplicity 8)
3 Sb 0.000 0.000 0.500 (multiplicity 4)

Output
Energy above the most stable polymorph in this dataset ... 15.8 meV/atom
Volume ... 500.0 Å³ per cell
Formation energy from raw total energies ... -2.10 eV per formula unit
Total moment ... 14.844 μB/f.u.

---

(5)
The following is a DFT calculation (GGA-PBE) of a relaxed structure of NaEuSb2.

Unit cell a=4.247 b=4.247 c=6.893 alpha=90.00 beta=90.00 gamma=90.00
Space group P4/mmm (No. 123)
Unique sites:
1 Na 0.000 0.000 0.000 (multiplicity 1)
2 Eu 0.000 0.000 0.500 (multiplicity 1)
3 Sb 0.500 0.500 0.287 (multiplicity 2)

Output
Energy above the most stable polymorph in this dataset ... 46.9 meV/atom
Volume ... 124.3 Å³ per cell
Formation energy from raw total energies ... -2.35 eV per formula unit
Total moment ... 6.894 μB/f.u.

---

(6)
The following is a DFT calculation (GGA-PBE) of a relaxed structure of NaEuSnSb.

Unit cell a=7.725 b=7.725 c=7.725 alpha=90.00 beta=90.00 gamma=90.00
Space group F-43m (No. 216)
Unique sites:
1 Na 0.000 0.000 0.000 (multiplicity 4)
2 Eu 0.000 0.000 0.500 (multiplicity 4)
3 Sn 0.250 0.250 0.750 (multiplicity 4)
4 Sb 0.250 0.250 0.250 (multiplicity 4)

Output
Volume ... 461.0 Å³ per cell
Formation energy from raw total energies ... -1.78 eV per formula unit
Total moment ... 6.854 μB/f.u.

---

(7)
The following is a DFT calculation (GGA-PBE) of a relaxed structure of NaEuTlSb.

Unit cell a=7.795 b=7.795 c=7.795 alpha=90.00 beta=90.00 gamma=90.00
Space group F-43m (No. 216)
Unique sites:
1 Na 0.000 0.000 0.000 (multiplicity 4)
2 Eu 0.000 0.000 0.500 (multiplicity 4)
3 Tl 0.250 0.250 0.750 (multiplicity 4)
4 Sb 0.250 0.250 0.250 (multiplicity 4)

Output
Volume ... 473.6 Å³ per cell
Formation energy from raw total energies ... -1.85 eV per formula unit
Total moment ... 7.240 μB/f.u.

---

(8)
The following is a DFT calculation (GGA-PBE) of a relaxed structure of NaEuZnSb.

Unit cell a=7.571 b=7.571 c=7.571 alpha=90.00 beta=90.00 gamma=90.00
Space group F-43m (No. 216)
Unique sites:
1 Na 0.000 0.000 0.000 (multiplicity 4)
2 Eu 0.000 0.000 0.500 (multiplicity 4)
3 Zn 0.250 0.250 0.250 (multiplicity 4)
4 Sb 0.250 0.250 0.750 (multiplicity 4)

Output
Volume ... 434.0 Å³ per cell
Formation energy from raw total energies ... -2.00 eV per formula unit
Total moment ... 6.998 μB/f.u.

---

(9)
The following is a DFT calculation (GGA-PBE) of a relaxed structure of NaEu2Sc.

Unit cell a=3.4850 b=3.4850 c=38.6839 alpha=90.00 beta=90.00 gamma=120.00
Space group R-3m (No. 166, hexagonal axes)
Unique sites:
1 Na 0.0000 0.0000 0.0000 (multiplicity 3)
2 Eu 0.0000 0.0000 0.4187 (multiplicity 6)
3 Sc 0.0000 0.0000 0.5000 (multiplicity 3)

Output
Energy above the most stable polymorph in this dataset ... 174.5 meV/atom
Volume ... 406.9 Å³ per cell
Formation energy ... 0.324 eV per atom
Total moment ... 14.553 μB/f.u.

---

(10)
The following is a DFT calculation (GGA-PBE) of a relaxed structure of NaEu2Sc.

Unit cell a=3.628 b=3.628 c=10.852 alpha=90.00 beta=90.00 gamma=90.00
Space group P4/mmm (No. 123)
Unique sites:
1 Na 0.000 0.000 0.000 (multiplicity 1)
2 Eu 0.500 0.500 0.274 (multiplicity 2)
3 Sc 0.000 0.000 0.500 (multiplicity 1)

Output
Energy above the most stable polymorph in this dataset ... 0.0 meV/atom
Volume ... 142.8 Å³ per cell
Formation energy ... 0.150 eV per atom
Total moment ... 15.986 μB/f.u.

---

(11)
The following is a DFT calculation (GGA-PBE) of a relaxed structure of NaEuScTl.

Unit cell a=7.664 b=7.664 c=7.664 alpha=90.00 beta=90.00 gamma=90.00
Space group F-43m (No. 216)
Unique sites:
1 Na 0.000 0.000 0.000 (multiplicity 4)
2 Eu 0.250 0.250 0.750 (multiplicity 4)
3 Sc 0.250 0.250 0.250 (multiplicity 4)
4 Tl 0.000 0.000 0.500 (multiplicity 4)

Output
Volume ... 450.1 Å³ per cell
Formation energy ... -0.028 eV per atom
Total moment ... 7.365 μB/f.u.

---

(12)
The following is a DFT calculation (GGA-PBE) of a relaxed structure of NaEu3Se.

Unit cell a=5.909 b=5.909 c=5.909 alpha=90.00 beta=90.00 gamma=90.00
Space group Pm-3m (No. 221)
Unique sites:
1 Na 0.000 0.000 0.000 (multiplicity 1)
2 Eu 0.000 0.500 0.500 (multiplicity 3)
3 Se 0.500 0.500 0.500 (multiplicity 1)

Output
Volume ... 206.3 Å³ per cell
Formation energy from raw total energies ... -3.08 eV per formula unit
Total moment ... 23.080 μB/f.u.

---

Q: Which value of volume does entry 7 give?
A: 473.6 Å³ per cell

---

Q: Among the records above, which one has the lowest volume?
A: number 5

---

Q: Number 6 is which compound?
A: NaEuSnSb